Tb5TmSc6: optimized geometry, PBE.

Values from the calculation:
E_form: 0.056 eV/atom
DOS at the Fermi energy: 16.5 states/eV/cell

The structure in POSCAR format:
```
Tb5TmSc6
1.0
2.964 -5.130 0.000
2.964 5.130 0.000
-1.970 0.000 10.949
Tb Tm Sc
5 1 6
Direct
0.000 0.000 0.000 Tb
0.167 0.833 0.500 Tb
0.333 0.667 0.000 Tb
0.667 0.333 0.000 Tb
0.833 0.167 0.500 Tb
0.500 0.500 0.500 Tm
0.084 0.417 0.250 Sc
0.250 0.250 0.750 Sc
0.417 0.084 0.250 Sc
0.583 0.916 0.750 Sc
0.750 0.750 0.250 Sc
0.916 0.583 0.750 Sc
```

CuIr2Os: optimized geometry, PBE.

Values from the calculation:
E_form: 0.088 eV/atom
relative energy among the computed polymorphs: 46 meV per atom
DOS at the Fermi energy: 3.3 states/eV/cell

The structure in POSCAR format:
```
CuIr2Os
1.0
2.741 0.000 0.000
0.000 3.764 0.000
0.000 0.000 5.401
Cu Ir Os
1 2 1
Direct
0.000 0.000 0.000 Cu
0.500 0.500 0.248 Ir
0.500 0.500 0.752 Ir
0.000 0.000 0.500 Os
```

KAs2Pt: optimized geometry, PBE.

Values from the calculation:
E_form: -0.444 eV/atom
relative energy among the computed polymorphs: 2 meV per atom
DOS at the Fermi energy: 2.1 states/eV/cell

The structure in POSCAR format:
```
KAs2Pt
1.0
7.211 0.000 0.000
0.000 3.929 0.000
-2.552 0.000 6.944
K As Pt
2 4 2
Direct
0.000 0.000 0.000 K
0.500 0.500 0.000 K
0.194 0.000 0.639 As
0.440 0.000 0.338 As
0.694 0.500 0.639 As
0.940 0.500 0.338 As
0.316 0.500 0.484 Pt
0.816 0.000 0.484 Pt
```

Hg4W5: optimized geometry, PBE.

Values from the calculation:
E_form: 0.737 eV/atom
relative energy among the computed polymorphs: 0 meV per atom
DOS at the Fermi energy: 5.7 states/eV/cell

The structure in POSCAR format:
```
Hg4W5
1.0
-4.436 4.436 2.075
4.436 -4.436 2.075
4.436 4.436 -2.075
Hg W
4 5
Direct
0.000 0.326 0.326 Hg
0.000 0.674 0.674 Hg
0.326 0.000 0.326 Hg
0.674 0.000 0.674 Hg
0.000 0.000 0.000 W
0.349 0.349 0.697 W
0.349 0.651 0.000 W
0.651 0.349 0.000 W
0.651 0.651 0.303 W
```

IrCl: optimized geometry, PBE.

Values from the calculation:
uncorrected formation energy: 1.007 eV/atom
relative energy among the computed polymorphs: 873 meV per atom
DOS at the Fermi energy: 7.9 states/eV/cell

The structure in POSCAR format:
```
IrCl
1.0
2.970 0.000 0.000
-1.485 2.572 0.000
0.000 0.000 12.234
Ir Cl
3 3
Direct
0.000 0.000 0.000 Ir
0.333 0.667 0.667 Ir
0.667 0.333 0.333 Ir
0.000 0.000 0.500 Cl
0.333 0.667 0.167 Cl
0.667 0.333 0.833 Cl
```

Tm2Mg5Cd: optimized geometry, PBE.

Values from the calculation:
E_form: 0.307 eV/atom
DOS at the Fermi energy: 7.0 states/eV/cell

The structure in POSCAR format:
```
Tm2Mg5Cd
1.0
6.726 0.000 0.000
0.000 6.726 0.000
0.000 0.000 5.014
Tm Mg Cd
2 5 1
Direct
0.000 0.500 0.000 Tm
0.500 0.000 0.000 Tm
0.000 0.000 0.000 Mg
0.285 0.285 0.500 Mg
0.285 0.715 0.500 Mg
0.715 0.285 0.500 Mg
0.715 0.715 0.500 Mg
0.000 0.000 0.500 Cd
```

Cr2OsPb: optimized geometry, PBE.

Values from the calculation:
E_form: 0.596 eV/atom
DOS at the Fermi energy: 5.8 states/eV/cell

The structure in POSCAR format:
```
Cr2OsPb
1.0
9.094 0.000 0.000
0.000 2.979 0.000
-1.174 0.000 4.789
Cr Os Pb
4 2 2
Direct
0.000 0.000 0.000 Cr
0.229 0.500 0.202 Cr
0.500 0.500 0.000 Cr
0.729 0.000 0.202 Cr
0.268 0.000 0.808 Os
0.768 0.500 0.808 Os
0.000 0.500 0.497 Pb
0.500 0.000 0.497 Pb
```

SrCd3F8: optimized geometry, PBE.

Values from the calculation:
uncorrected formation energy: -2.624 eV/atom
relative energy among the computed polymorphs: 0 meV per atom
DOS at the Fermi energy: 0.0 states/eV/cell

The structure in POSCAR format:
```
SrCd3F8
1.0
5.580 0.000 0.000
0.000 5.580 0.000
0.000 0.000 5.580
Sr Cd F
1 3 8
Direct
0.000 0.000 0.000 Sr
0.000 0.500 0.500 Cd
0.500 0.000 0.500 Cd
0.500 0.500 0.000 Cd
0.256 0.256 0.256 F
0.256 0.256 0.744 F
0.256 0.744 0.256 F
0.256 0.744 0.744 F
0.744 0.256 0.256 F
0.744 0.256 0.744 F
0.744 0.744 0.256 F
0.744 0.744 0.744 F
```

Mn2RhBr: optimized geometry, PBE.

Values from the calculation:
uncorrected formation energy: 0.377 eV/atom
relative energy among the computed polymorphs: 340 meV per atom
DOS at the Fermi energy: 3.0 states/eV/cell

The structure in POSCAR format:
```
Mn2RhBr
1.0
3.129 0.000 0.000
-0.006 4.664 0.000
-0.011 -1.061 4.552
Mn Rh Br
2 1 1
Direct
0.000 0.000 0.000 Mn
0.000 0.500 0.500 Mn
0.500 0.000 0.500 Rh
0.500 0.500 0.000 Br
```

TbEr2Ir2: optimized geometry, PBE.

Values from the calculation:
E_form: -0.808 eV/atom
relative energy among the computed polymorphs: 0 meV per atom
DOS at the Fermi energy: 3.0 states/eV/cell

The structure in POSCAR format:
```
TbEr2Ir2
1.0
4.758 0.000 0.000
-2.379 4.121 0.000
0.000 0.000 5.977
Tb Er Ir
1 2 2
Direct
0.000 0.000 0.000 Tb
0.333 0.667 0.663 Er
0.667 0.333 0.337 Er
0.333 0.667 0.173 Ir
0.667 0.333 0.827 Ir
```

KPb: optimized geometry, PBE.

Values from the calculation:
E_form: -0.072 eV/atom
relative energy among the computed polymorphs: 169 meV per atom

The structure in POSCAR format:
```
KPb
1.0
10.548 0.000 0.000
0.000 10.548 0.000
0.000 0.000 10.548
K Pb
8 8
Direct
0.206 0.206 0.206 K
0.206 0.794 0.794 K
0.294 0.294 0.706 K
0.294 0.706 0.294 K
0.706 0.294 0.294 K
0.706 0.706 0.706 K
0.794 0.206 0.794 K
0.794 0.794 0.206 K
0.105 0.105 0.895 Pb
0.105 0.895 0.105 Pb
0.395 0.395 0.395 Pb
0.395 0.605 0.605 Pb
0.605 0.395 0.605 Pb
0.605 0.605 0.395 Pb
0.895 0.105 0.105 Pb
0.895 0.895 0.895 Pb
```

Tm2HI: optimized geometry, PBE.

Values from the calculation:
DOS at the Fermi energy: 5.1 states/eV/cell

The structure in POSCAR format:
```
Tm2HI
1.0
3.695 0.000 0.000
-1.848 3.200 0.000
0.000 0.000 22.471
Tm H I
6 3 3
Direct
0.000 0.000 0.223 Tm
0.000 0.000 0.777 Tm
0.333 0.667 0.444 Tm
0.333 0.667 0.889 Tm
0.667 0.333 0.111 Tm
0.667 0.333 0.556 Tm
0.000 0.000 0.500 H
0.333 0.667 0.167 H
0.667 0.333 0.833 H
0.000 0.000 0.000 I
0.333 0.667 0.667 I
0.667 0.333 0.333 I
```

| no. | VASP energy (eV/atom) |
| --- | --- |
| 1 | -5.4119 |
| 2 | -8.1736 |
| 3 | -4.5531 |
| 4 | -6.5929 |
| 5 | -4.3467 |
| 6 | -1.9223 |
| 7 | -7.9498 |
| 8 | -4.2403 |
| 9 | -6.4638 |
| 10 | -7.1036 |
| 11 | -2.4749 |
| 12 | -3.9254 |